This record from Alexandria via LeMat-Bulk describes a relaxed structure of AlAgRu3. The functional is GGA-PBEsol.

a b c (Å): 4.373 4.373 4.373
angles (deg): 90.00 90.00 90.00
Space group Pm-3m (No. 221)
Unique sites:
Al: 0.000 0.000 0.000 (multiplicity 1)
Ag: 0.500 0.500 0.500 (multiplicity 1)
Ru: 0.000 0.000 0.500 (multiplicity 3)

As for the crystal system: cubic. The value obtained for the calculated total energy is -30.9 eV per cell. The formation enthalpy at 0 K comes out at 1.3947 eV/atom.